{
  "formula": "Li4MoBr",
  "functional": "SCAN",
  "state": "single point on PBEsol structure",
  "lattice_angstrom": [[5.3054, 0.0000, 0.0000], [2.6527, 4.5946, 0.0000], [2.6527, 1.5315, 4.3319]],
  "species": ["Br", "Mo", "Li", "Li", "Li", "Li"],
  "fractional_positions": [[0.0000, 0.0000, 0.0000], [0.7500, 0.7500, 0.7500], [0.3770, 0.3770, 0.3770], [0.3770, 0.3770, 0.8690], [0.8690, 0.3770, 0.3770], [0.3770, 0.8690, 0.3770]],
  "final_energy_ry_per_atom": -0.74845,
  "e_form_raw_ev_per_atom": 0.468,
  "magnetic_moment_mub_per_fu": 3.27
}